No. 1
The following is a PBE calculation of crystalline KCd4Ag at its relaxed geometry, from Alexandria.

Computed properties:
Space-group type: Pmma
V (Å³ per cell): 316
Relative energy among the computed polymorphs (meV per atom): 0
Fermi-level density of states (states/eV/f.u.): 2.165

a b c (Å): 9.1752 4.3635 7.8828
angles (deg): 90.00 90.00 90.00
Fractional coordinates of all 12 atoms:
K 0.2500 0.0000 0.1048
K 0.7500 0.0000 0.8952
Cd 0.0000 0.0000 0.5000
Cd 0.0490 0.5000 0.8059
Cd 0.2500 0.5000 0.4434
Cd 0.4510 0.5000 0.8059
Cd 0.5000 0.0000 0.5000
Cd 0.5490 0.5000 0.1941
Cd 0.7500 0.5000 0.5566
Cd 0.9510 0.5000 0.1941
Ag 0.2500 0.0000 0.6999
Ag 0.7500 0.0000 0.3001


No. 2
The following is a PBE calculation of crystalline K4Cd2Ag at its relaxed geometry, from Alexandria.

Computed properties:
Space-group type: P-1
V (Å³ per cell): 567
Relative energy among the computed polymorphs (meV per atom): 0
Fermi-level density of states (states/eV/f.u.): 3.847

a b c (Å): 7.5326 8.3045 10.8100
angles (deg): 72.55 71.88 64.02
Fractional coordinates of all 14 atoms:
K 0.0002 0.2258 0.2837
K 0.9998 0.7742 0.7163
K 0.0195 0.2712 0.6508
K 0.4279 0.2360 0.8577
K 0.4939 0.7053 0.8038
K 0.5061 0.2947 0.1962
K 0.5721 0.7640 0.1423
K 0.9805 0.7288 0.3492
Cd 0.0000 0.0000 0.0000
Cd 0.4129 0.8940 0.4641
Cd 0.5000 0.5000 0.5000
Cd 0.5871 0.1060 0.5359
Ag 0.0825 0.6082 0.0337
Ag 0.9175 0.3918 0.9663


No. 3
The following is a PBE calculation of crystalline K3Cd4Ag at its relaxed geometry, from Alexandria.

Computed properties:
Space-group type: Imm2
V (Å³ per cell): 540
Fermi-level density of states (states/eV/f.u.): 4.198

a b c (Å): 6.2293 7.5537 11.4803
angles (deg): 90.00 90.00 90.00
Fractional coordinates of all 16 atoms:
K 0.0000 0.0000 0.0000
K 0.0000 0.2408 0.6611
K 0.0000 0.7592 0.6611
K 0.5000 0.2592 0.1611
K 0.5000 0.5000 0.5000
K 0.5000 0.7408 0.1611
Cd 0.0000 0.3089 0.3359
Cd 0.0000 0.6911 0.3359
Cd 0.2415 0.5000 0.9076
Cd 0.2585 0.0000 0.4076
Cd 0.5000 0.1911 0.8359
Cd 0.5000 0.8089 0.8359
Cd 0.7415 0.0000 0.4076
Cd 0.7585 0.5000 0.9076
Ag 0.0000 0.5000 0.1203
Ag 0.5000 0.0000 0.6203


No. 4
The following is a PBE calculation of crystalline KCdAg at its relaxed geometry, from Alexandria.

Computed properties:
Space-group type: F-43m
V (Å³ per cell): 487
Relative energy among the computed polymorphs (meV per atom): 370
Fermi-level density of states (states/eV/f.u.): 0.225

a b c (Å): 7.8703 7.8703 7.8703
angles (deg): 90.00 90.00 90.00
Fractional coordinates of all 12 atoms:
K 0.0000 0.0000 0.0000
K 0.0000 0.5000 0.5000
K 0.5000 0.0000 0.5000
K 0.5000 0.5000 0.0000
Cd 0.2500 0.2500 0.2500
Cd 0.2500 0.7500 0.7500
Cd 0.7500 0.2500 0.7500
Cd 0.7500 0.7500 0.2500
Ag 0.2500 0.2500 0.7500
Ag 0.2500 0.7500 0.2500
Ag 0.7500 0.2500 0.2500
Ag 0.7500 0.7500 0.7500


No. 5
The following is a PBE calculation of crystalline K12Cd3Ag5 at its relaxed geometry, from Alexandria.

Computed properties:
Space-group type: Ia-3d
V (Å³ per cell): 4350
Fermi-level density of states (states/eV/f.u.): 18.983

a b c (Å): 17.8111 17.8111 17.8111
angles (deg): 109.47 109.47 109.47
Fractional coordinates of all 80 atoms:
K 0.0455 0.2186 0.1267
K 0.0455 0.3269 0.9188
K 0.0812 0.6267 0.4081
K 0.0812 0.9545 0.6731
K 0.0919 0.7186 0.6731
K 0.0919 0.8733 0.4188
K 0.1267 0.0455 0.2186
K 0.1267 0.5812 0.9081
K 0.1731 0.2186 0.5919
K 0.1731 0.4545 0.5812
K 0.2186 0.1267 0.0455
K 0.2186 0.5919 0.1731
K 0.2814 0.3269 0.9081
K 0.2814 0.4545 0.3733
K 0.3269 0.9081 0.2814
K 0.3269 0.9188 0.0455
K 0.3733 0.2814 0.4545
K 0.3733 0.5919 0.9188
K 0.4081 0.0812 0.6267
K 0.4081 0.8269 0.7814
K 0.4188 0.0919 0.8733
K 0.4188 0.8269 0.5455
K 0.4545 0.3733 0.2814
K 0.4545 0.5812 0.1731
K 0.5455 0.4188 0.8269
K 0.5455 0.6267 0.7186
K 0.5812 0.1731 0.4545
K 0.5812 0.9081 0.1267
K 0.5919 0.1731 0.2186
K 0.5919 0.9188 0.3733
K 0.6267 0.4081 0.0812
K 0.6267 0.7186 0.5455
K 0.6731 0.0812 0.9545
K 0.6731 0.0919 0.7186
K 0.7186 0.5455 0.6267
K 0.7186 0.6731 0.0919
K 0.7814 0.4081 0.8269
K 0.7814 0.8733 0.9545
K 0.8269 0.5455 0.4188
K 0.8269 0.7814 0.4081
K 0.8733 0.4188 0.0919
K 0.8733 0.9545 0.7814
K 0.9081 0.1267 0.5812
K 0.9081 0.2814 0.3269
K 0.9188 0.0455 0.3269
K 0.9188 0.3733 0.5919
K 0.9545 0.6731 0.0812
K 0.9545 0.7814 0.8733
Cd 0.1250 0.2500 0.3750
Cd 0.1250 0.3750 0.7500
Cd 0.2500 0.3750 0.1250
Cd 0.2500 0.8750 0.6250
Cd 0.3750 0.1250 0.2500
Cd 0.3750 0.7500 0.1250
Cd 0.6250 0.2500 0.8750
Cd 0.6250 0.8750 0.7500
Cd 0.7500 0.1250 0.3750
Cd 0.7500 0.6250 0.8750
Cd 0.8750 0.6250 0.2500
Cd 0.8750 0.7500 0.6250
Ag 0.0000 0.0000 0.0000
Ag 0.0000 0.0000 0.5000
Ag 0.0000 0.5000 0.0000
Ag 0.0000 0.5000 0.5000
Ag 0.1250 0.7500 0.8750
Ag 0.1250 0.8750 0.2500
Ag 0.2500 0.1250 0.8750
Ag 0.2500 0.6250 0.3750
Ag 0.3750 0.2500 0.6250
Ag 0.3750 0.6250 0.7500
Ag 0.5000 0.0000 0.0000
Ag 0.5000 0.0000 0.5000
Ag 0.5000 0.5000 0.0000
Ag 0.5000 0.5000 0.5000
Ag 0.6250 0.3750 0.2500
Ag 0.6250 0.7500 0.3750
Ag 0.7500 0.3750 0.6250
Ag 0.7500 0.8750 0.1250
Ag 0.8750 0.1250 0.7500
Ag 0.8750 0.2500 0.1250


No. 6
The following is a PBE calculation of crystalline K2Cd5Ag4 at its relaxed geometry, from Alexandria.

Computed properties:
Space-group type: C2/m
V (Å³ per cell): 308
Relative energy among the computed polymorphs (meV per atom): 37
Fermi-level density of states (states/eV/f.u.): 4.703

a b c (Å): 7.5804 7.5804 9.2005
angles (deg): 123.73 123.73 47.10
Fractional coordinates of all 11 atoms:
K 0.2200 0.2200 0.2841
K 0.7800 0.7800 0.7159
Cd 0.2118 0.7091 0.2524
Cd 0.2909 0.7882 0.7476
Cd 0.5000 0.5000 0.0000
Cd 0.7091 0.2118 0.2524
Cd 0.7882 0.2909 0.7476
Ag 0.1276 0.1276 0.5706
Ag 0.2705 0.2705 0.9491
Ag 0.7295 0.7295 0.0509
Ag 0.8724 0.8724 0.4294


No. 7
The following is a PBE calculation of crystalline KCd2Ag2 at its relaxed geometry, from Alexandria.

Computed properties:
Space-group type: I4/mmm
V (Å³ per cell): 271
Relative energy among the computed polymorphs (meV per atom): 21
Fermi-level density of states (states/eV/f.u.): 2.357

a b c (Å): 4.7089 4.7089 12.2258
angles (deg): 90.00 90.00 90.00
Fractional coordinates of all 10 atoms:
K 0.0000 0.0000 0.0000
K 0.5000 0.5000 0.5000
Cd 0.0000 0.5000 0.2500
Cd 0.0000 0.5000 0.7500
Cd 0.5000 0.0000 0.2500
Cd 0.5000 0.0000 0.7500
Ag 0.0000 0.0000 0.3870
Ag 0.0000 0.0000 0.6130
Ag 0.5000 0.5000 0.1130
Ag 0.5000 0.5000 0.8870


No. 8
The following is a PBE calculation of crystalline KCdAg at its relaxed geometry, from Alexandria.

Computed properties:
Space-group type: P-6m2
V (Å³ per cell): 98
Relative energy among the computed polymorphs (meV per atom): 23
Fermi-level density of states (states/eV/f.u.): 1.262

a b c (Å): 4.8884 4.8884 4.7529
angles (deg): 90.00 90.00 120.00
Fractional coordinates of all 3 atoms:
K 0.0000 0.0000 0.0000
Cd 0.3333 0.6667 0.5000
Ag 0.6667 0.3333 0.5000


No. 9
The following is a PBE calculation of crystalline K6Cd2Ag at its relaxed geometry, from Alexandria.

Computed properties:
Space-group type: R-3m
V (Å³ per cell): 408
Fermi-level density of states (states/eV/f.u.): 4.153

a b c (Å): 12.3096 12.3096 12.3096
angles (deg): 29.81 29.81 29.81
Fractional coordinates of all 9 atoms:
K 0.0765 0.0765 0.0765
K 0.1949 0.1949 0.1949
K 0.3120 0.3120 0.3120
K 0.6880 0.6880 0.6880
K 0.8051 0.8051 0.8051
K 0.9235 0.9235 0.9235
Cd 0.4195 0.4195 0.4195
Cd 0.5805 0.5805 0.5805
Ag 0.5000 0.5000 0.5000


No. 10
The following is a PBE calculation of crystalline KCdAg4 at its relaxed geometry, from Alexandria.

Computed properties:
Space-group type: F-43m
V (Å³ per cell): 134
Relative energy among the computed polymorphs (meV per atom): 0
Fermi-level density of states (states/eV/f.u.): 2.576

a b c (Å): 5.7406 5.7406 5.7406
angles (deg): 60.00 60.00 60.00
Fractional coordinates of all 6 atoms:
K 0.0000 0.0000 0.0000
Cd 0.2500 0.2500 0.2500
Ag 0.1265 0.6245 0.6245
Ag 0.6245 0.1265 0.6245
Ag 0.6245 0.6245 0.1265
Ag 0.6245 0.6245 0.6245


No. 11
The following is a PBE calculation of crystalline K8Cd2Ag at its relaxed geometry, from Alexandria.

Computed properties:
Space-group type: Immm
V (Å³ per cell): 536
Fermi-level density of states (states/eV/f.u.): 5.538

a b c (Å): 10.6290 10.6290 10.6290
angles (deg): 147.50 122.65 67.48
Fractional coordinates of all 11 atoms:
K 0.1200 0.3426 0.7774
K 0.1388 0.1388 0.0000
K 0.3122 0.0000 0.3122
K 0.4348 0.6574 0.7774
K 0.5652 0.3426 0.2226
K 0.6878 0.0000 0.6878
K 0.8612 0.8612 0.0000
K 0.8800 0.6574 0.2226
Cd 0.3069 0.8069 0.5000
Cd 0.6931 0.1931 0.5000
Ag 0.0000 0.5000 0.5000


No. 12
The following is a PBE calculation of crystalline KCdAg at its relaxed geometry, from Alexandria.

Computed properties:
Space-group type: P-1
V (Å³ per cell): 195
Relative energy among the computed polymorphs (meV per atom): 12
Fermi-level density of states (states/eV/f.u.): 1.093

a b c (Å): 4.6537 6.3704 7.0420
angles (deg): 82.87 70.76 89.67
Fractional coordinates of all 6 atoms:
K 0.1177 0.3480 0.2612
K 0.8823 0.6520 0.7388
Cd 0.4132 0.1353 0.6723
Cd 0.5868 0.8647 0.3277
Ag 0.2120 0.8845 0.0777
Ag 0.7880 0.1155 0.9223


No. 13
The following is a PBE calculation of crystalline KCd2Ag9 at its relaxed geometry, from Alexandria.

Computed properties:
Space-group type: P6/mmm
V (Å³ per cell): 242
Relative energy among the computed polymorphs (meV per atom): 48
Fermi-level density of states (states/eV/f.u.): 2.875

a b c (Å): 9.6404 9.6404 3.0120
angles (deg): 90.00 90.00 120.00
Fractional coordinates of all 12 atoms:
K 0.0000 0.0000 0.0000
Cd 0.3333 0.6667 0.0000
Cd 0.6667 0.3333 0.0000
Ag 0.0000 0.5000 0.0000
Ag 0.1825 0.3651 0.5000
Ag 0.1825 0.8175 0.5000
Ag 0.3651 0.1825 0.5000
Ag 0.5000 0.0000 0.0000
Ag 0.5000 0.5000 0.0000
Ag 0.6349 0.8175 0.5000
Ag 0.8175 0.1825 0.5000
Ag 0.8175 0.6349 0.5000


No. 14
The following is a PBE calculation of crystalline KCd4Ag at its relaxed geometry, from Alexandria.

Computed properties:
Space-group type: F-43m
V (Å³ per cell): 151
Relative energy among the computed polymorphs (meV per atom): 66
Fermi-level density of states (states/eV/f.u.): 1.166

a b c (Å): 5.9715 5.9715 5.9715
angles (deg): 60.00 60.00 60.00
Fractional coordinates of all 6 atoms:
K 0.0000 0.0000 0.0000
Cd 0.3760 0.3760 0.3760
Cd 0.3760 0.3760 0.8721
Cd 0.3760 0.8721 0.3760
Cd 0.8721 0.3760 0.3760
Ag 0.7500 0.7500 0.7500


No. 15
The following is a PBE calculation of crystalline K3CdAg8 at its relaxed geometry, from Alexandria.

Computed properties:
Space-group type: R3m
V (Å³ per cell): 282
Fermi-level density of states (states/eV/f.u.): 5.744

a b c (Å): 10.1207 10.1207 10.1207
angles (deg): 33.54 33.54 33.54
Fractional coordinates of all 12 atoms:
K 0.0000 0.0000 0.0000
K 0.1266 0.1266 0.1266
K 0.5041 0.5041 0.5041
Cd 0.6298 0.6298 0.6298
Ag 0.0567 0.5629 0.5629
Ag 0.0654 0.0654 0.5677
Ag 0.0654 0.5677 0.0654
Ag 0.3133 0.3133 0.3133
Ag 0.5629 0.0567 0.5629
Ag 0.5629 0.5629 0.0567
Ag 0.5677 0.0654 0.0654
Ag 0.8138 0.8138 0.8138


No. 16
The following is a PBE calculation of crystalline KCd6Ag at its relaxed geometry, from Alexandria.

Computed properties:
Space-group type: P4/mmm
V (Å³ per cell): 220
Relative energy among the computed polymorphs (meV per atom): 0
Fermi-level density of states (states/eV/f.u.): 1.972

a b c (Å): 4.7911 4.7911 9.5742
angles (deg): 90.00 90.00 90.00
Fractional coordinates of all 8 atoms:
K 0.0000 0.0000 0.0000
Cd 0.0000 0.5000 0.3332
Cd 0.0000 0.5000 0.6668
Cd 0.5000 0.0000 0.3332
Cd 0.5000 0.0000 0.6668
Cd 0.5000 0.5000 0.1486
Cd 0.5000 0.5000 0.8514
Ag 0.0000 0.0000 0.5000


No. 17
The following is a PBE calculation of crystalline K4Cd5Ag3 at its relaxed geometry, from Alexandria.

Computed properties:
Space-group type: C2/m
V (Å³ per cell): 384
Fermi-level density of states (states/eV/f.u.): 4.165

a b c (Å): 6.6526 6.6526 13.1665
angles (deg): 114.47 114.47 47.67
Fractional coordinates of all 12 atoms:
K 0.1631 0.1631 0.0106
K 0.1678 0.1678 0.3491
K 0.8322 0.8322 0.6509
K 0.8369 0.8369 0.9894
Cd 0.1685 0.1685 0.7399
Cd 0.4447 0.4447 0.8733
Cd 0.5000 0.5000 0.5000
Cd 0.5553 0.5553 0.1267
Cd 0.8315 0.8315 0.2601
Ag 0.0000 0.0000 0.5000
Ag 0.4275 0.4275 0.2603
Ag 0.5725 0.5725 0.7397


No. 18
The following is a PBE calculation of crystalline KCd4Ag at its relaxed geometry, from Alexandria.

Computed properties:
Space-group type: Cmcm
V (Å³ per cell): 319
Relative energy among the computed polymorphs (meV per atom): 7
Fermi-level density of states (states/eV/f.u.): 1.969

a b c (Å): 9.1115 9.1115 7.6686
angles (deg): 90.00 90.00 149.95
Fractional coordinates of all 12 atoms:
K 0.1243 0.8757 0.7500
K 0.8757 0.1243 0.2500
Cd 0.0672 0.9328 0.2500
Cd 0.3218 0.6782 0.5565
Cd 0.3218 0.6782 0.9435
Cd 0.5000 0.5000 0.0000
Cd 0.5000 0.5000 0.5000
Cd 0.6782 0.3218 0.0565
Cd 0.6782 0.3218 0.4435
Cd 0.9328 0.0672 0.7500
Ag 0.2296 0.7704 0.2500
Ag 0.7704 0.2296 0.7500


No. 19
The following is a PBE calculation of crystalline KCd6Ag at its relaxed geometry, from Alexandria.

Computed properties:
Space-group type: R-3m
V (Å³ per cell): 213
Relative energy among the computed polymorphs (meV per atom): 20
Fermi-level density of states (states/eV/f.u.): 3.697

a b c (Å): 10.7070 10.7070 10.7070
angles (deg): 26.37 26.37 26.37
Fractional coordinates of all 8 atoms:
K 0.0000 0.0000 0.0000
Cd 0.1361 0.1361 0.1361
Cd 0.2402 0.2402 0.2402
Cd 0.4061 0.4061 0.4061
Cd 0.5939 0.5939 0.5939
Cd 0.7598 0.7598 0.7598
Cd 0.8639 0.8639 0.8639
Ag 0.5000 0.5000 0.5000


| no. | formation energy (meV/atom) |
| --- | --- |
| 1 | -39 |
| 2 | -25 |
| 3 | -65 |
| 4 | 329 |
| 5 | 158 |
| 6 | 3 |
| 7 | -23 |
| 8 | -18 |
| 9 | -5 |
| 10 | 19 |
| 11 | 30 |
| 12 | -29 |
| 13 | 75 |
| 14 | 28 |
| 15 | 20 |
| 16 | -30 |
| 17 | -24 |
| 18 | -32 |
| 19 | -9 |